Material: GdNpOs4
Method: DFT, PBE
State: relaxed

Symmetry   F-43m
Formation energy   -95 meV/atom
Size of the total moment   9.84 μB/f.u.

Cell: 5.3556 5.3556 5.3556 Å, 60.00 60.00 60.00°
Fractional positions:
Gd  0.0000  0.0000  0.0000
Np  0.2500  0.2500  0.2500
Os  0.1251  0.6250  0.6250
Os  0.6250  0.1251  0.6250
Os  0.6250  0.6250  0.1251
Os  0.6250  0.6250  0.6250